# Fe2RhSe PBE relaxed
data_Fe2RhSe
_symmetry_space_group_name_H-M 'R -3 m'
_symmetry_Int_Tables_number 166
_symmetry_space_group_name_Hall '-R 3 2"'
_cell_length_a 2.8587
_cell_length_b 2.8587
_cell_length_c 23.6698
_cell_angle_alpha 90.00
_cell_angle_beta 90.00
_cell_angle_gamma 120.00
loop_
_atom_site_label
_atom_site_type_symbol
_atom_site_fract_x
_atom_site_fract_y
_atom_site_fract_z
Fe1 Fe 0.0000 0.0000 0.2474
Rh1 Rh 0.0000 0.0000 0.0000
Se1 Se 0.0000 0.0000 0.5000
# Total DFT energy (no corrections) ... -6.701 eV per atom
# Formation energy from raw total energies ... 0.239 eV per atom


# Pm2Ho3ScSe6 PBE relaxed
data_Pm2Ho3ScSe6
_symmetry_space_group_name_H-M 'C 1 2/m 1'
_symmetry_Int_Tables_number 12
_symmetry_space_group_name_Hall '-C 2y'
_cell_length_a 17.7564
_cell_length_b 4.0611
_cell_length_c 8.2033
_cell_angle_alpha 90.00
_cell_angle_beta 103.28
_cell_angle_gamma 90.00
loop_
_atom_site_label
_atom_site_type_symbol
_atom_site_fract_x
_atom_site_fract_y
_atom_site_fract_z
Pm1 Pm 0.1679 0.0000 0.3348
Ho1 Ho 0.0000 0.5000 0.5000
Ho2 Ho 0.1719 0.0000 0.8353
Sc1 Sc 0.0000 0.5000 0.0000
Se1 Se 0.0044 0.0000 0.7605
Se2 Se 0.1607 0.5000 0.0717
Se3 Se 0.1627 0.5000 0.5905
# Total DFT energy (no corrections) ... -5.933 eV per atom
# Formation energy from raw total energies ... -1.727 eV per atom


# ScBe3W PBE relaxed
data_ScBe3W
_symmetry_space_group_name_H-M 'P m -3 m'
_symmetry_Int_Tables_number 221
_symmetry_space_group_name_Hall '-P 4 2 3'
_cell_length_a 4.3130
_cell_length_b 4.3130
_cell_length_c 4.3130
_cell_angle_alpha 90.00
_cell_angle_beta 90.00
_cell_angle_gamma 90.00
loop_
_atom_site_label
_atom_site_type_symbol
_atom_site_fract_x
_atom_site_fract_y
_atom_site_fract_z
Sc1 Sc 0.0000 0.0000 0.0000
Be1 Be 0.0000 0.5000 0.5000
W1 W 0.5000 0.5000 0.5000
# Calculated formation energy ... 0.79 eV per atom
# Total DFT energy (no corrections) ... -5.305 eV per atom


# MgTc2Te PBE relaxed
data_MgTc2Te
_symmetry_space_group_name_H-M 'I -4 m 2'
_symmetry_Int_Tables_number 119
_symmetry_space_group_name_Hall 'I -4 -2'
_cell_length_a 4.0146
_cell_length_b 4.0146
_cell_length_c 8.3319
_cell_angle_alpha 90.00
_cell_angle_beta 90.00
_cell_angle_gamma 90.00
loop_
_atom_site_label
_atom_site_type_symbol
_atom_site_fract_x
_atom_site_fract_y
_atom_site_fract_z
Mg1 Mg 0.0000 0.0000 0.0000
Tc1 Tc 0.0000 0.0000 0.5000
Tc2 Tc 0.0000 0.5000 0.7500
Te1 Te 0.0000 0.5000 0.2500
# Total DFT energy (no corrections) ... -5.996 eV per atom
# Formation energy from raw total energies ... 0.371 eV per atom


Q: What is the formula in the third record?
A: ScBe3W


Q: Which formula does entry 4 have?
A: MgTc2Te


Q: Which of these has the lowest total DFT energy (no corrections)?
A: Fe2RhSe